No. 1
An optimized crystal structure of TlPd2Rh2. Source: Alexandria via LeMat-Bulk, functional PBE-GGA.

a b c (Å): 7.6532 7.6532 2.9127
angles (deg): 90.00 90.00 90.00
Last column: nearest neighbours and their distance in Å.
Positions (direct):
Pd: 0.8738 0.6262 0.0000  6 Rh 2.64-2.72, 3 Pd 2.73-2.91
Pd: 0.6262 0.1262 0.0000  6 Rh 2.64-2.72, 3 Pd 2.73-2.91
Pd: 0.1262 0.3738 0.0000  6 Rh 2.64-2.72, 3 Pd 2.73-2.91
Pd: 0.3738 0.8738 0.0000  6 Rh 2.64-2.72, 3 Pd 2.73-2.91
Rh: 0.6706 0.8294 0.5000  6 Pd 2.64-2.72, 2 Rh 2.91
Rh: 0.3294 0.1706 0.5000  6 Pd 2.64-2.72, 2 Rh 2.91
Rh: 0.8294 0.3294 0.5000  6 Pd 2.64-2.72, 2 Rh 2.91
Rh: 0.1706 0.6706 0.5000  6 Pd 2.64-2.72, 2 Rh 2.91
Tl: 0.0000 0.0000 0.0000  2 Tl 2.91, 4 Pd 3.02, 8 Rh 3.19
Tl: 0.5000 0.5000 0.0000  2 Tl 2.91, 4 Pd 3.02, 8 Rh 3.19

Summary:
DFT total energy: -52.12 eV for the cell shown
energy relative to the elements: 0.279 eV per atom
offset from the most stable computed form: 37 meV/atom

=====

No. 2
An optimized crystal structure of Tl2PdRh. Source: Alexandria via LeMat-Bulk, functional PBE-GGA.

a b c (Å): 3.2098 3.2098 7.3626
angles (deg): 90.00 90.00 90.00
Last column: nearest neighbours and their distance in Å.
Positions (direct):
Rh: 0.5000 0.5000 0.0000  8 Tl 2.89, 4 Rh 3.21
Tl: 0.0000 0.0000 0.7563  4 Rh 2.89, 4 Pd 2.95, 4 Tl 3.21
Tl: 0.0000 0.0000 0.2437  4 Rh 2.89, 4 Pd 2.95, 4 Tl 3.21
Pd: 0.5000 0.5000 0.5000  8 Tl 2.95, 4 Pd 3.21

Summary:
DFT total energy: -17.26 eV for the cell shown
energy relative to the elements: 0.005 eV per atom
offset from the most stable computed form: 0 meV/atom

=====

No. 3
An optimized crystal structure of TlPd2Rh2. Source: Alexandria via LeMat-Bulk, functional PBE-GGA.

a b c (Å): 3.7289 3.7289 6.9141
angles (deg): 74.36 74.36 90.00
Last column: nearest neighbours and their distance in Å.
Positions (direct):
Pd: 0.2500 0.7500 0.5000  4 Pd 2.64, 4 Rh 2.69
Pd: 0.7500 0.2500 0.5000  4 Pd 2.64, 4 Rh 2.69
Tl: 0.0000 0.0000 0.0000  8 Rh 2.92
Rh: 0.4021 0.4021 0.1957  1 Rh 2.50, 4 Pd 2.69
Rh: 0.5979 0.5979 0.8043  1 Rh 2.50, 4 Pd 2.69

Summary:
DFT total energy: -25.89 eV for the cell shown
energy relative to the elements: 0.313 eV per atom
offset from the most stable computed form: 72 meV/atom

=====

No. 4
An optimized crystal structure of Tl2PdRh2. Source: Alexandria via LeMat-Bulk, functional PBE-GGA.

a b c (Å): 7.4371 7.4371 3.3629
angles (deg): 90.00 90.00 90.00
Last column: nearest neighbours and their distance in Å.
Positions (direct):
Tl: 0.3296 0.1704 0.5000  6 Rh 2.69-2.81
Tl: 0.1704 0.6704 0.5000  6 Rh 2.69-2.81
Tl: 0.8296 0.3296 0.5000  6 Rh 2.69-2.81
Tl: 0.6704 0.8296 0.5000  6 Rh 2.69-2.81
Rh: 0.3696 0.8696 0.0000  6 Tl 2.69-2.81, 1 Rh 2.74, 2 Pd 2.91
Rh: 0.1304 0.3696 0.0000  6 Tl 2.69-2.81, 1 Rh 2.74, 2 Pd 2.91
Rh: 0.6304 0.1304 0.0000  6 Tl 2.69-2.81, 1 Rh 2.74, 2 Pd 2.91
Rh: 0.8696 0.6304 0.0000  6 Tl 2.69-2.81, 1 Rh 2.74, 2 Pd 2.91
Pd: 0.5000 0.5000 0.0000  4 Rh 2.91, 8 Tl 3.23
Pd: 0.0000 0.0000 0.0000  4 Rh 2.91, 8 Tl 3.23

Summary:
DFT total energy: -48.00 eV for the cell shown
energy relative to the elements: 0.125 eV per atom

=====

No. 5
An optimized crystal structure of TlPd2Rh2. Source: Alexandria via LeMat-Bulk, functional PBE-GGA.

a b c (Å): 3.5967 3.5967 7.3790
angles (deg): 75.89 75.89 90.00
Last column: nearest neighbours and their distance in Å.
Positions (direct):
Rh: 0.7500 0.2500 0.5000  4 Rh 2.54, 4 Pd 2.75
Rh: 0.2500 0.7500 0.5000  4 Rh 2.54, 4 Pd 2.75
Tl: 0.0000 0.0000 0.0000  8 Pd 2.90
Pd: 0.3999 0.3999 0.2003  4 Rh 2.75, 1 Pd 2.77, 4 Tl 2.90
Pd: 0.6001 0.6001 0.7997  4 Rh 2.75, 1 Pd 2.77, 4 Tl 2.90

Summary:
DFT total energy: -26.13 eV for the cell shown
energy relative to the elements: 0.264 eV per atom
offset from the most stable computed form: 23 meV/atom

=====

No. 6
An optimized crystal structure of TmTlPdRh. Source: Alexandria via LeMat-Bulk, functional PBE-GGA.

a b c (Å): 4.7525 4.7525 4.7525
angles (deg): 60.00 60.00 60.00
Last column: nearest neighbours and their distance in Å.
Positions (direct):
Tm: 0.5000 0.5000 0.5000  4 Rh 2.91, 4 Pd 2.91
Pd: 0.7500 0.7500 0.7500  4 Tm 2.91, 4 Tl 2.91
Tl: 0.0000 0.0000 0.0000  4 Pd 2.91, 4 Rh 2.91
Rh: 0.2500 0.2500 0.2500  4 Tl 2.91, 4 Tm 2.91

Summary:
DFT total energy: -21.77 eV for the cell shown
energy relative to the elements: -0.597 eV per atom

=====

No. 7
An optimized crystal structure of Tm5Tl2PdRh2. Source: Alexandria via LeMat-Bulk, functional PBE-GGA.

a b c (Å): 3.5320 11.5589 11.5589
angles (deg): 90.00 90.00 90.00
Last column: nearest neighbours and their distance in Å.
Positions (direct):
Tm: 0.5000 0.9271 0.1973  2 Rh 2.73, 2 Pd 3.01
Tm: 0.5000 0.3027 0.5729  2 Rh 2.73, 2 Pd 3.01
Tm: 0.5000 0.5000 0.0000  4 Rh 2.81
Tm: 0.5000 0.4271 0.3027  2 Rh 2.73, 2 Pd 3.01
Tm: 0.5000 0.1973 0.0729  2 Rh 2.73, 2 Pd 3.01
Tm: 0.5000 0.8027 0.9271  2 Rh 2.73, 2 Pd 3.01
Tm: 0.5000 0.6973 0.4271  2 Rh 2.73, 2 Pd 3.01
Tm: 0.5000 0.5729 0.6973  2 Rh 2.73, 2 Pd 3.01
Tm: 0.5000 0.0729 0.8027  2 Rh 2.73, 2 Pd 3.01
Tm: 0.5000 0.0000 0.5000  4 Rh 2.81
Rh: 0.0000 0.1336 0.6336  6 Tm 2.73-2.81
Rh: 0.0000 0.3664 0.1336  6 Tm 2.73-2.81
Rh: 0.0000 0.6336 0.8664  6 Tm 2.73-2.81
Rh: 0.0000 0.8664 0.3664  6 Tm 2.73-2.81
Tl: 0.0000 0.3271 0.8271  1 Rh 3.16, 6 Tm 3.33-3.44, 2 Tl 3.53
Tl: 0.0000 0.8271 0.6729  1 Rh 3.16, 6 Tm 3.33-3.44, 2 Tl 3.53
Tl: 0.0000 0.6729 0.1729  1 Rh 3.16, 6 Tm 3.33-3.44, 2 Tl 3.53
Tl: 0.0000 0.1729 0.3271  1 Rh 3.16, 6 Tm 3.33-3.44, 2 Tl 3.53
Pd: 0.0000 0.5000 0.5000  8 Tm 3.01
Pd: 0.0000 0.0000 0.0000  8 Tm 3.01

Summary:
DFT total energy: -107.12 eV for the cell shown
energy relative to the elements: -0.657 eV per atom

=====

No. 8
An optimized crystal structure of TmTlPdRh. Source: Alexandria via LeMat-Bulk, functional PBE-GGA.

a b c (Å): 4.4754 4.4754 4.9219
angles (deg): 117.05 117.04 90.00
Last column: nearest neighbours and their distance in Å.
Positions (direct):
Pd: 0.5000 0.5001 0.0000  4 Tl 2.93, 4 Tm 2.93, 4 Rh 3.16-3.17
Rh: 0.0000 0.9999 0.0000  4 Tl 2.93, 4 Tm 2.93, 4 Pd 3.16-3.17
Tl: 0.7500 0.2500 0.5000  4 Pd 2.93, 4 Rh 2.93, 4 Tm 3.16
Tm: 0.2500 0.7500 0.5000  4 Pd 2.93, 4 Rh 2.93, 4 Tl 3.16

Summary:
DFT total energy: -21.78 eV for the cell shown
energy relative to the elements: -0.598 eV per atom

=====

No. 9
An optimized crystal structure of YTlPdRh. Source: Alexandria via LeMat-Bulk, functional PBE-GGA.

a b c (Å): 4.7965 4.7965 4.7965
angles (deg): 60.00 60.00 60.00
Last column: nearest neighbours and their distance in Å.
Positions (direct):
Pd: 0.5000 0.5000 0.5000  4 Tl 2.94, 4 Y 2.94
Rh: 0.0000 0.0000 0.0000  4 Y 2.94, 4 Tl 2.94
Y: 0.7500 0.7500 0.7500  4 Rh 2.94, 4 Pd 2.94
Tl: 0.2500 0.2500 0.2500  4 Rh 2.94, 4 Pd 2.94

Summary:
DFT total energy: -23.61 eV for the cell shown
energy relative to the elements: -0.559 eV per atom

=====

No. 10
An optimized crystal structure of TlZnPdRh. Source: Alexandria via LeMat-Bulk, functional PBE-GGA.

a b c (Å): 4.5316 4.5316 4.5316
angles (deg): 60.00 60.00 60.00
Last column: nearest neighbours and their distance in Å.
Positions (direct):
Zn: 0.0000 0.0000 0.0000  4 Rh 2.78, 4 Pd 2.78
Rh: 0.7500 0.7500 0.7500  4 Tl 2.78, 4 Zn 2.78
Tl: 0.5000 0.5000 0.5000  4 Rh 2.78, 4 Pd 2.78
Pd: 0.2500 0.2500 0.2500  4 Tl 2.78, 4 Zn 2.78

Summary:
DFT total energy: -16.88 eV for the cell shown
energy relative to the elements: -0.174 eV per atom

=====

No. 11
An optimized crystal structure of ZrTlPdRh. Source: Alexandria via LeMat-Bulk, functional PBE-GGA.

a b c (Å): 4.6865 4.6865 4.6865
angles (deg): 60.00 60.00 60.00
Last column: nearest neighbours and their distance in Å.
Positions (direct):
Zr: 0.5000 0.5000 0.5000  4 Rh 2.87, 4 Pd 2.87
Pd: 0.7500 0.7500 0.7500  4 Tl 2.87, 4 Zr 2.87
Tl: 0.0000 0.0000 0.0000  4 Rh 2.87, 4 Pd 2.87
Rh: 0.2500 0.2500 0.2500  4 Zr 2.87, 4 Tl 2.87

Summary:
DFT total energy: -25.27 eV for the cell shown
energy relative to the elements: -0.454 eV per atom

=====

No. 12
An optimized crystal structure of Tm8Pd2Rh. Source: Alexandria via LeMat-Bulk, functional PBE-GGA.

a b c (Å): 5.0150 6.6468 8.8929
angles (deg): 105.49 106.38 90.00
Last column: nearest neighbours and their distance in Å.
Positions (direct):
Pd: 0.8128 0.2806 0.6256  3 Tm 2.76-2.82
Pd: 0.1872 0.7194 0.3744  3 Tm 2.76-2.82
Tm: 0.0317 0.7888 0.0635  1 Pd 2.82, 2 Rh 3.00
Tm: 0.2022 0.3163 0.4045  1 Pd 2.76
Tm: 0.7978 0.6837 0.5955  1 Pd 2.76
Tm: 0.3354 0.0274 0.6708  3 Pd 2.78-3.10, 1 Rh 2.87
Tm: 0.5908 0.4427 0.1815  1 Rh 2.92
Tm: 0.4092 0.5573 0.8185  1 Rh 2.92
Tm: 0.9683 0.2112 0.9365  1 Pd 2.82, 2 Rh 3.00
Tm: 0.6646 0.9726 0.3292  3 Pd 2.78-3.10, 1 Rh 2.87
Rh: 0.5000 0.0000 0.0000  8 Tm 2.87-3.00

Summary:
DFT total energy: -59.23 eV for the cell shown
energy relative to the elements: -0.520 eV per atom
offset from the most stable computed form: 0 meV/atom